No. 1
A geometry-optimized NpGa2O8 structure. Source: the Alexandria database, functional PBE.

abc: 5.226 5.313 5.869
angles: 106.28 104.53 110.31
Sites, in units of the cell vectors:
Np1 0.000 0.000 0.000
Ga1 0.297 0.704 0.499
Ga2 0.703 0.296 0.501
O1 0.048 0.707 0.706
O2 0.271 0.925 0.298
O3 0.401 0.280 0.025
O4 0.493 0.535 0.707
O5 0.507 0.465 0.293
O6 0.599 0.720 0.975
O7 0.729 0.075 0.702
O8 0.952 0.293 0.294

Properties
Space-group type: P-1, No. 2


No. 2
A geometry-optimized NpGaO6 structure. Source: the Alexandria database, functional PBE.

abc: 5.273 5.273 5.045
angles: 96.68 96.68 122.88
Sites, in units of the cell vectors:
Np1 0.000 0.000 0.000
Ga1 0.500 0.500 0.500
O1 0.104 0.376 0.242
O2 0.261 0.261 0.741
O3 0.376 0.104 0.242
O4 0.624 0.896 0.758
O5 0.739 0.739 0.259
O6 0.896 0.624 0.758

Properties
Space-group type: C2/m, No. 12


No. 3
A geometry-optimized NpGaO structure. Source: the Alexandria database, functional PBE.

abc: 3.312 3.312 9.147
angles: 90.00 90.00 90.00
Sites, in units of the cell vectors:
Np1 0.250 0.250 0.163
Np2 0.750 0.750 0.837
Ga1 0.250 0.250 0.579
Ga2 0.750 0.750 0.421
O1 0.250 0.250 0.909
O2 0.750 0.750 0.091

Properties
Space-group type: P4/nmm, No. 129


No. 4
A geometry-optimized NpPaGaO6 structure. Source: the Alexandria database, functional PBE.

abc: 5.422 5.422 9.789
angles: 90.00 90.00 120.00
Sites, in units of the cell vectors:
Np1 0.000 0.000 0.000
Np2 0.000 0.000 0.500
Pa1 0.333 0.667 0.250
Pa2 0.667 0.333 0.750
Ga1 0.333 0.667 0.750
Ga2 0.667 0.333 0.250
O1 0.022 0.351 0.635
O2 0.022 0.671 0.865
O3 0.329 0.351 0.865
O4 0.329 0.978 0.635
O5 0.351 0.022 0.135
O6 0.351 0.329 0.365
O7 0.649 0.671 0.635
O8 0.649 0.978 0.865
O9 0.671 0.022 0.365
O10 0.671 0.649 0.135
O11 0.978 0.329 0.135
O12 0.978 0.649 0.365

Properties
Space-group type: P-31c, No. 163


No. 5
A geometry-optimized NpPaGa2O8 structure. Source: the Alexandria database, functional PBE.

abc: 6.587 6.587 6.587
angles: 134.13 134.13 66.88
Sites, in units of the cell vectors:
Np1 0.000 0.000 0.000
Pa1 0.250 0.750 0.500
Ga1 0.500 0.500 0.000
Ga2 0.750 0.250 0.500
O1 0.009 0.063 0.407
O2 0.241 0.691 0.093
O3 0.309 0.402 0.550
O4 0.399 0.991 0.054
O5 0.598 0.148 0.907
O6 0.655 0.601 0.593
O7 0.852 0.759 0.450
O8 0.937 0.345 0.946

Properties
Space-group type: I-4, No. 82


No. 6
A geometry-optimized NpGa2PbO8 structure. Source: the Alexandria database, functional PBE.

abc: 4.771 4.771 6.534
angles: 90.00 90.00 91.18
Sites, in units of the cell vectors:
Np1 0.000 0.000 0.000
Ga1 0.500 0.500 0.255
Ga2 0.500 0.500 0.745
Pb1 0.000 0.000 0.500
O1 0.209 0.791 0.235
O2 0.209 0.791 0.765
O3 0.307 0.307 0.000
O4 0.317 0.317 0.500
O5 0.683 0.683 0.500
O6 0.693 0.693 0.000
O7 0.791 0.209 0.235
O8 0.791 0.209 0.765

Properties
Space-group type: Cmmm, No. 65


No. 7
A geometry-optimized NpGaPbO5 structure. Source: the Alexandria database, functional PBE.

abc: 6.057 6.057 7.975
angles: 104.32 104.32 106.95
Sites, in units of the cell vectors:
Np1 0.000 0.000 0.000
Np2 0.000 0.000 0.500
Ga1 0.316 0.684 0.750
Ga2 0.684 0.316 0.250
Pb1 0.327 0.673 0.250
Pb2 0.673 0.327 0.750
O1 0.074 0.926 0.250
O2 0.106 0.690 0.887
O3 0.246 0.367 0.592
O4 0.310 0.894 0.613
O5 0.367 0.246 0.092
O6 0.633 0.754 0.908
O7 0.690 0.106 0.387
O8 0.754 0.633 0.408
O9 0.894 0.310 0.113
O10 0.926 0.074 0.750

Properties
Space-group type: C2/c, No. 15


No. 8
A geometry-optimized NpGaPbO6 structure. Source: the Alexandria database, functional PBE.

abc: 5.371 5.371 10.917
angles: 90.00 90.00 120.00
Sites, in units of the cell vectors:
Np1 0.333 0.667 0.250
Np2 0.667 0.333 0.750
Ga1 0.333 0.667 0.750
Ga2 0.667 0.333 0.250
Pb1 0.000 0.000 0.000
Pb2 0.000 0.000 0.500
O1 0.002 0.372 0.648
O2 0.002 0.630 0.852
O3 0.370 0.372 0.852
O4 0.370 0.998 0.648
O5 0.372 0.002 0.148
O6 0.372 0.370 0.352
O7 0.628 0.630 0.648
O8 0.628 0.998 0.852
O9 0.630 0.002 0.352
O10 0.630 0.628 0.148
O11 0.998 0.370 0.148
O12 0.998 0.628 0.352

Properties
Space-group type: P-31c, No. 163


No. 9
A geometry-optimized PmNpGaO6 structure. Source: the Alexandria database, functional PBE.

abc: 5.333 5.333 10.286
angles: 90.00 90.00 120.00
Sites, in units of the cell vectors:
Pm1 0.000 0.000 0.000
Pm2 0.000 0.000 0.500
Np1 0.333 0.667 0.250
Np2 0.667 0.333 0.750
Ga1 0.333 0.667 0.750
Ga2 0.667 0.333 0.250
O1 0.007 0.360 0.641
O2 0.007 0.647 0.859
O3 0.353 0.360 0.859
O4 0.353 0.993 0.641
O5 0.360 0.007 0.141
O6 0.360 0.353 0.359
O7 0.640 0.647 0.641
O8 0.640 0.993 0.859
O9 0.647 0.007 0.359
O10 0.647 0.640 0.141
O11 0.993 0.353 0.141
O12 0.993 0.640 0.359

Properties
Space-group type: P-31c, No. 163


No. 10
A geometry-optimized PrNpGaO6 structure. Source: the Alexandria database, functional PBE.

abc: 5.348 5.348 10.477
angles: 90.00 90.00 120.00
Sites, in units of the cell vectors:
Pr1 0.000 0.000 0.000
Pr2 0.000 0.000 0.500
Np1 0.333 0.667 0.250
Np2 0.667 0.333 0.750
Ga1 0.333 0.667 0.750
Ga2 0.667 0.333 0.250
O1 0.007 0.363 0.642
O2 0.007 0.644 0.858
O3 0.356 0.363 0.858
O4 0.356 0.993 0.642
O5 0.363 0.007 0.142
O6 0.363 0.356 0.358
O7 0.637 0.644 0.642
O8 0.637 0.993 0.858
O9 0.644 0.007 0.358
O10 0.644 0.637 0.142
O11 0.993 0.356 0.142
O12 0.993 0.637 0.358

Properties
Space-group type: P-31c, No. 163


No. 11
A geometry-optimized NpGaPtO6 structure. Source: the Alexandria database, functional PBE.

abc: 5.274 5.274 8.877
angles: 90.00 90.00 120.00
Sites, in units of the cell vectors:
Np1 0.333 0.667 0.250
Np2 0.667 0.333 0.750
Ga1 0.333 0.667 0.750
Ga2 0.667 0.333 0.250
Pt1 0.000 0.000 0.000
Pt2 0.000 0.000 0.500
O1 0.013 0.340 0.627
O2 0.013 0.672 0.873
O3 0.328 0.340 0.873
O4 0.328 0.987 0.627
O5 0.340 0.013 0.127
O6 0.340 0.328 0.373
O7 0.660 0.672 0.627
O8 0.660 0.987 0.873
O9 0.672 0.013 0.373
O10 0.672 0.660 0.127
O11 0.987 0.328 0.127
O12 0.987 0.660 0.373

Properties
Space-group type: P-31c, No. 163


No. 12
A geometry-optimized PuNpGaO6 structure. Source: the Alexandria database, functional PBE.

abc: 5.335 5.335 9.933
angles: 90.00 90.00 120.00
Sites, in units of the cell vectors:
Pu1 0.000 0.000 0.000
Pu2 0.000 0.000 0.500
Np1 0.333 0.667 0.250
Np2 0.667 0.333 0.750
Ga1 0.333 0.667 0.750
Ga2 0.667 0.333 0.250
O1 0.014 0.353 0.637
O2 0.014 0.661 0.863
O3 0.339 0.353 0.863
O4 0.339 0.986 0.637
O5 0.353 0.014 0.137
O6 0.353 0.339 0.363
O7 0.647 0.661 0.637
O8 0.647 0.986 0.863
O9 0.661 0.014 0.363
O10 0.661 0.647 0.137
O11 0.986 0.339 0.137
O12 0.986 0.647 0.363

Properties
Space-group type: P-31c, No. 163


Number 1: raw formation energy -1.523 eV per atom. Number 2: raw formation energy -1.523 eV per atom. Number 3: raw formation energy -1.428 eV per atom. Number 4: raw formation energy -2.778 eV per atom. Number 5: raw formation energy -2.595 eV per atom. Number 6: raw formation energy -1.791 eV per atom. Number 7: raw formation energy -2.141 eV per atom. Number 8: raw formation energy -1.976 eV per atom. Number 9: raw formation energy -2.679 eV per atom. Number 10: raw formation energy -2.664 eV per atom. Number 11: raw formation energy -1.645 eV per atom. Number 12: raw formation energy -2.568 eV per atom.